The following is a GGA-PBE calculation of a geometry-optimized Ag2Sb structure, from OQMD via LeMat-Bulk.

Calculated values
Space group ... Fd-3m (227)
V ... 62.1 Å³/f.u.
Total DFT energy (no corrections) ... -3.130 eV per atom

Lattice parameters (Å, degrees): 5.600 5.600 5.600 60.00 60.00 60.00
Element x y z (fractional)
Ag (0.000, 0.000, 0.000)
Ag (0.000, 0.000, 0.500)
Ag (0.000, 0.500, 0.000)
Ag (0.500, 0.000, 0.000)
Sb (0.375, 0.375, 0.375)
Sb (0.625, 0.625, 0.625)


The following is a GGA-PBE calculation of a geometry-optimized MgCuSb structure, from OQMD via LeMat-Bulk.

Calculated values
Space group ... P-62m (189)
V ... 58.1 Å³/f.u.
Total DFT energy (no corrections) ... -3.273 eV per atom

Lattice parameters (Å, degrees): 7.185 7.185 3.896 90.00 90.00 120.00
Element x y z (fractional)
Mg (0.000, 0.611, 0.000)
Mg (0.389, 0.389, 0.000)
Mg (0.611, 0.000, 0.000)
Cu (0.000, 0.000, 0.000)
Cu (0.333, 0.667, 0.500)
Cu (0.667, 0.333, 0.500)
Sb (0.000, 0.281, 0.500)
Sb (0.281, 0.000, 0.500)
Sb (0.719, 0.719, 0.500)


The following is a GGA-PBE calculation of a geometry-optimized BaLu2Fe structure, from OQMD via LeMat-Bulk.

Calculated values
Total magnetization ... 1.9 μB per cell
Space group ... F-43m (216)
V ... 105.4 Å³/f.u.
Total DFT energy (no corrections) ... -4.129 eV per atom

Lattice parameters (Å, degrees): 5.301 5.301 5.301 60.00 60.00 60.00
Element x y z (fractional)
Ba (0.000, 0.000, 0.000)
Lu (0.500, 0.500, 0.500)
Lu (0.750, 0.750, 0.750)
Fe (0.250, 0.250, 0.250)


The following is a GGA-PBE calculation of a geometry-optimized InTePtAuSe2 structure, from OQMD via LeMat-Bulk.

Calculated values
Total magnetization ... 0.0 μB per cell
Space group ... Cmcm (63)
V ... 142.4 Å³/f.u.
Total DFT energy (no corrections) ... -3.948 eV per atom

Lattice parameters (Å, degrees): 7.253 7.253 11.087 90.00 90.00 150.77
Element x y z (fractional)
In (0.182, 0.818, 0.750)
In (0.818, 0.182, 0.250)
Te (0.486, 0.514, 0.750)
Te (0.514, 0.486, 0.250)
Pt (0.500, 0.500, 0.000)
Pt (0.500, 0.500, 0.500)
Au (0.173, 0.827, 0.250)
Au (0.827, 0.173, 0.750)
Se (0.122, 0.878, 0.506)
Se (0.122, 0.878, 0.994)
Se (0.878, 0.122, 0.006)
Se (0.878, 0.122, 0.494)


The following is a GGA-PBE calculation of a geometry-optimized Th2F13 structure, from OQMD via LeMat-Bulk.

Calculated values
Total magnetization ... 1.0 μB per cell
Space group ... P-1 (2)
V ... 181.2 Å³/f.u.
Total DFT energy (no corrections) ... -5.154 eV per atom

Lattice parameters (Å, degrees): 5.243 5.550 6.988 67.73 75.15 79.87
Element x y z (fractional)
Th (0.185, 0.167, 0.129)
Th (0.815, 0.833, 0.871)
F (0.000, 0.000, 0.500)
F (0.113, 0.131, 0.823)
F (0.126, 0.388, 0.347)
F (0.221, 0.603, 0.912)
F (0.368, 0.538, 0.543)
F (0.426, 0.781, 0.126)
F (0.429, 0.019, 0.601)
F (0.571, 0.981, 0.399)
F (0.574, 0.219, 0.874)
F (0.632, 0.462, 0.457)
F (0.779, 0.397, 0.088)
F (0.874, 0.612, 0.653)
F (0.887, 0.869, 0.177)


The following is a GGA-PBE calculation of a geometry-optimized PmBi structure, from OQMD via LeMat-Bulk.

Calculated values
Total magnetization ... 0.0 μB per cell
Space group ... P6_3/mmc (194)
V ... 66.5 Å³/f.u.
Total DFT energy (no corrections) ... -5.228 eV per atom

Lattice parameters (Å, degrees): 4.699 4.699 6.958 90.00 90.00 120.00
Element x y z (fractional)
Pm (0.333, 0.667, 0.250)
Pm (0.667, 0.333, 0.750)
Bi (0.000, 0.000, 0.000)
Bi (0.000, 0.000, 0.500)


The following is a GGA-PBE calculation of a geometry-optimized HgAs2Ir structure, from OQMD via LeMat-Bulk.

Calculated values
Total magnetization ... 0.0 μB per cell
Space group ... F-43m (216)
V ... 73.2 Å³/f.u.
Total DFT energy (no corrections) ... -3.985 eV per atom

Lattice parameters (Å, degrees): 4.695 4.695 4.695 60.00 60.00 60.00
Element x y z (fractional)
Hg (0.000, 0.000, 0.000)
As (0.500, 0.500, 0.500)
As (0.750, 0.750, 0.750)
Ir (0.250, 0.250, 0.250)


The following is a GGA-PBE calculation of a geometry-optimized Ag5CF4 structure, from OQMD via LeMat-Bulk.

Calculated values
Space group ... P-4 (81)
V ... 141.6 Å³/f.u.
Total DFT energy (no corrections) ... -3.746 eV per atom

Lattice parameters (Å, degrees): 7.423 7.423 10.281 90.00 90.00 90.00
Element x y z (fractional)
Ag (0.000, 0.500, 0.003)
Ag (0.000, 0.500, 0.290)
Ag (0.106, 0.803, 0.845)
Ag (0.108, 0.230, 0.621)
Ag (0.197, 0.106, 0.155)
Ag (0.230, 0.892, 0.379)
Ag (0.259, 0.595, 0.623)
Ag (0.304, 0.379, 0.848)
Ag (0.379, 0.696, 0.152)
Ag (0.405, 0.259, 0.377)
Ag (0.500, 0.000, 0.710)
Ag (0.500, 0.000, 0.997)
Ag (0.595, 0.741, 0.377)
Ag (0.621, 0.304, 0.152)
Ag (0.696, 0.621, 0.848)
Ag (0.741, 0.405, 0.623)
Ag (0.770, 0.108, 0.379)
Ag (0.803, 0.894, 0.155)
Ag (0.892, 0.770, 0.621)
Ag (0.894, 0.197, 0.845)
C (0.040, 0.421, 0.766)
C (0.421, 0.960, 0.234)
C (0.579, 0.040, 0.234)
C (0.960, 0.579, 0.766)
F (0.063, 0.211, 0.401)
F (0.064, 0.778, 0.103)
F (0.211, 0.937, 0.599)
F (0.222, 0.064, 0.897)
F (0.289, 0.551, 0.396)
F (0.295, 0.418, 0.101)
F (0.418, 0.705, 0.899)
F (0.449, 0.289, 0.604)
F (0.551, 0.711, 0.604)
F (0.582, 0.295, 0.899)
F (0.705, 0.582, 0.101)
F (0.711, 0.449, 0.396)
F (0.778, 0.936, 0.897)
F (0.789, 0.063, 0.599)
F (0.936, 0.222, 0.103)
F (0.937, 0.789, 0.401)


The following is a GGA-PBE calculation of a geometry-optimized BeInAsOs structure, from OQMD via LeMat-Bulk.

Calculated values
Total magnetization ... 0.0 μB per cell
Space group ... F-43m (216)
V ... 62.3 Å³/f.u.
Total DFT energy (no corrections) ... -4.934 eV per atom

Lattice parameters (Å, degrees): 4.449 4.449 4.449 60.00 60.00 60.00
Element x y z (fractional)
Be (0.000, 0.000, 0.000)
In (0.750, 0.750, 0.750)
As (0.500, 0.500, 0.500)
Os (0.250, 0.250, 0.250)


The following is a GGA-PBE calculation of a geometry-optimized Ga2W structure, from OQMD via LeMat-Bulk.

Calculated values
Total magnetization ... 0.0 μB per cell
Space group ... Fd-3m (227)
V ... 184.9 Å³/f.u.
Total DFT energy (no corrections) ... -4.510 eV per atom

Lattice parameters (Å, degrees): 8.057 8.057 8.057 60.00 60.00 60.00
Element x y z (fractional)
Ga (0.000, 0.000, 0.000)
Ga (0.000, 0.000, 0.500)
Ga (0.000, 0.500, 0.000)
Ga (0.500, 0.000, 0.000)
W (0.125, 0.125, 0.125)
W (0.875, 0.875, 0.875)


The following is a GGA-PBE calculation of a geometry-optimized Mg2ScPt3 structure, from OQMD via LeMat-Bulk.

Calculated values
Total magnetization ... 0.0 μB per cell
Space group ... P4/mmm (123)
V ... 98.9 Å³/f.u.
Total DFT energy (no corrections) ... -5.607 eV per atom

Lattice parameters (Å, degrees): 3.310 3.310 9.024 90.00 90.00 90.00
Element x y z (fractional)
Mg (0.000, 0.000, 0.160)
Mg (0.000, 0.000, 0.840)
Sc (0.000, 0.000, 0.500)
Pt (0.500, 0.500, 0.000)
Pt (0.500, 0.500, 0.330)
Pt (0.500, 0.500, 0.670)


The following is a GGA-PBE calculation of a geometry-optimized ErTm2Ga3AgPt2 structure, from OQMD via LeMat-Bulk.

Calculated values
Total magnetization ... 0.0 μB per cell
Space group ... Amm2 (38)
V ... 177.7 Å³/f.u.
Total DFT energy (no corrections) ... -5.072 eV per atom

Lattice parameters (Å, degrees): 3.663 7.486 7.486 120.04 90.00 90.00
Element x y z (fractional)
Er (0.000, 0.000, 0.000)
Tm (0.000, 0.407, 0.815)
Tm (0.000, 0.815, 0.407)
Ga (0.500, 0.135, 0.408)
Ga (0.500, 0.408, 0.135)
Ga (0.500, 0.679, 0.679)
Ag (0.000, 0.408, 0.408)
Pt (0.500, 0.074, 0.740)
Pt (0.500, 0.740, 0.074)